No. 1
Here is Na8TaS6 after structural relaxation from the Alexandria database. Energies are from PBE.

Results
Fermi-level density of states ... 0.2923 states/eV per atom
M_tot ... 0.067 μB per atom
Formation energy from raw total energies ... -0.963 eV per atom

Unit cell a=8.3003 b=7.9253 c=11.5160 alpha=90.00 beta=90.00 gamma=90.00
Closest atoms and distances in Å follow each position.
Element x y z (fractional)
Na  0.3620  0.0000  0.9542  4 S 2.78-3.01
Na  0.6380  0.5000  0.4542  4 S 2.78-3.01
Na  0.9194  0.7984  0.1557  4 S 2.76-2.99, 2 Na 3.07-3.08
Na  0.0806  0.7016  0.6557  4 S 2.76-2.99, 2 Na 3.07-3.08
Na  0.0806  0.2984  0.6557  4 S 2.76-2.99, 2 Na 3.07-3.08
Na  0.9194  0.2016  0.1557  4 S 2.76-2.99, 2 Na 3.07-3.08
Na  0.4467  0.7297  0.6899  4 S 2.78-2.97, 1 Na 3.07
Na  0.5533  0.7703  0.1899  4 S 2.78-2.97, 1 Na 3.07
Na  0.5533  0.2297  0.1899  4 S 2.78-2.97, 1 Na 3.07
Na  0.4467  0.2703  0.6899  4 S 2.78-2.97, 1 Na 3.07
Na  0.8362  0.8074  0.8433  3 S 2.75-2.81, 2 Na 3.05-3.08
Na  0.1638  0.6926  0.3433  3 S 2.75-2.81, 2 Na 3.05-3.08
Na  0.1638  0.3074  0.3433  3 S 2.75-2.81, 2 Na 3.05-3.08
Na  0.8362  0.1926  0.8433  3 S 2.75-2.81, 2 Na 3.05-3.08
Na  0.2769  0.0000  0.5063  3 S 2.64-2.80
Na  0.7231  0.5000  0.0063  3 S 2.64-2.80
Ta  0.7670  0.0000  0.4889  4 S 2.33-2.38
Ta  0.2330  0.5000  0.9889  4 S 2.33-2.38
S  0.7121  0.0000  0.0208  7 Na 2.75-3.01
S  0.2879  0.5000  0.5208  7 Na 2.75-3.01
S  0.2280  0.0000  0.7329  6 Na 2.64-2.85
S  0.7720  0.5000  0.2329  6 Na 2.64-2.85
S  0.9989  0.0000  0.3680  1 Ta 2.38
S  0.0011  0.5000  0.8680  1 Ta 2.38
S  0.5384  0.0000  0.3719  1 Ta 2.33
S  0.4616  0.5000  0.8719  1 Ta 2.33
S  0.2403  0.7383  0.1077  1 Ta 2.33
S  0.7597  0.7617  0.6077  1 Ta 2.33
S  0.7597  0.2383  0.6077  1 Ta 2.33
S  0.2403  0.2617  0.1077  1 Ta 2.33


No. 2
Here is Na2TaS4 after structural relaxation from the Alexandria database. Energies are from PBE.

Results
Fermi-level density of states ... 0.6292 states/eV per atom
M_tot ... 0.000 μB per atom
Formation energy from raw total energies ... -0.778 eV per atom

Unit cell a=4.8543 b=4.8543 c=7.9182 alpha=72.15 beta=72.15 gamma=90.00
Closest atoms and distances in Å follow each position.
Element x y z (fractional)
Na  0.3607  0.3607  0.2786  1 S 2.76
Na  0.6393  0.6393  0.7214  1 S 2.76
S  0.1671  0.1671  0.6658  1 Ta 2.38
S  0.8329  0.8329  0.3342  1 Ta 2.38
S  0.0000  0.5000  0.0000  2 Ta 2.43
S  0.5000  0.0000  0.0000  2 Ta 2.43
Ta  0.0000  0.0000  0.0000  6 S 2.38-2.43


No. 3
Here is Na3TaS after structural relaxation from the Alexandria database. Energies are from PBE.

Results
Fermi-level density of states ... 1.5186 states/eV per atom
M_tot ... 0.800 μB per atom
Formation energy from raw total energies ... 0.696 eV per atom

Unit cell a=5.3084 b=5.3084 c=5.3084 alpha=90.00 beta=90.00 gamma=90.00
Closest atoms and distances in Å follow each position.
Element x y z (fractional)
Na  0.0000  0.5000  0.0000  2 S 2.65
Na  0.0000  0.0000  0.5000  2 S 2.65
Na  0.5000  0.0000  0.0000  2 S 2.65
S  0.0000  0.0000  0.0000  6 Na 2.65
Ta  0.5000  0.5000  0.5000  12 Na 3.75


No. 4
Here is NaTaS after structural relaxation from the Alexandria database. Energies are from PBE.

Results
Fermi-level density of states ... 0.0921 states/eV per atom
M_tot ... 0.000 μB per atom
Formation energy from raw total energies ... -0.384 eV per atom

Unit cell a=3.9868 b=3.9868 c=10.7355 alpha=79.30 beta=79.30 gamma=60.00
Closest atoms and distances in Å follow each position.
Element x y z (fractional)
Ta  0.3091  0.3091  0.0727  4 S 2.50-2.51, 3 Ta 2.76
Ta  0.6909  0.6909  0.9273  4 S 2.50-2.51, 3 Ta 2.76
Na  0.1200  0.1200  0.6399  3 S 3.07
Na  0.8800  0.8800  0.3601  3 S 3.07
S  0.3888  0.3888  0.8337  4 Ta 2.50-2.51
S  0.6112  0.6112  0.1663  4 Ta 2.50-2.51